Computed, not measured: an optimized crystal structure of TbPuCu2Se4 at the PBE level of DFT.

a = 6.8440 Å, b = 6.2030 Å, c = 6.2030 Å
α = 67.91°, β = 56.52°, γ = 56.52°
Last column: nearest neighbours and their distance in Å.
Positions (direct):
Tb 0.5000 0.5000 0.5000  4 Se 2.83
Pu 0.0000 0.0000 0.0000  8 Se 3.00-3.23
Cu 0.1677 0.3323 0.3323  2 Se 2.38, 1 Cu 2.58
Cu 0.8323 0.6677 0.6677  2 Se 2.38, 1 Cu 2.58
Se 0.4614 0.0592 0.5229  1 Cu 2.38
Se 0.0436 0.9408 0.4771  1 Cu 2.38
Se 0.9564 0.5229 0.0592  1 Cu 2.38
Se 0.5386 0.4771 0.9408  1 Cu 2.38

Summary:
ΔE_f (raw)	-0.9249	eV per atom
symmetry	I222 (23)

=====

Computed, not measured: an optimized crystal structure of SnSbPd at the PBE level of DFT.

a = 4.6600 Å, b = 4.6600 Å, c = 4.6600 Å
α = 60.00°, β = 60.00°, γ = 60.00°
Last column: nearest neighbours and their distance in Å.
Positions (direct):
Sb 0.0000 0.0000 0.0000  4 Pd 2.85
Sn 0.5000 0.5000 0.5000  4 Pd 2.85
Pd 0.2500 0.2500 0.2500  4 Sn 2.85, 4 Sb 2.85

Summary:
energy above the lowest structure with this stoichiometry	0.000	eV per atom
ΔE_f (raw)	-0.3252	eV per atom
symmetry	F-43m (216)

=====

Computed, not measured: an optimized crystal structure of Sr4Sb2As2Au at the PBE level of DFT.

a = 6.5344 Å, b = 6.5917 Å, c = 6.5917 Å
α = 82.55°, β = 84.69°, γ = 84.69°
Last column: nearest neighbours and their distance in Å.
Positions (direct):
Sr 0.2300 0.6013 0.1230  1 Au 3.27, 3 As 3.28-3.41, 3 Sb 3.35-3.60
Sr 0.7700 0.8770 0.3987  1 Au 3.27, 3 As 3.28-3.41, 3 Sb 3.35-3.60
Sr 0.7700 0.3987 0.8770  1 Au 3.27, 3 As 3.28-3.41, 3 Sb 3.35-3.60
Sr 0.2300 0.1230 0.6013  1 Au 3.27, 3 As 3.28-3.41, 3 Sb 3.35-3.60
Sb 0.3277 0.6114 0.6114  1 Sb 2.95
Sb 0.6723 0.3886 0.3886  1 Sb 2.95
As 0.1393 0.1200 0.1200  1 Au 2.51
As 0.8607 0.8800 0.8800  1 Au 2.51
Au 0.5000 0.0000 0.0000  2 As 2.51

Summary:
ΔE_f (raw)	-0.8440	eV per atom
symmetry	C2/m (12)

=====

Computed, not measured: an optimized crystal structure of TaPRu2 at the PBE level of DFT.

a = 2.9769 Å, b = 3.7940 Å, c = 5.2576 Å
α = 90.00°, β = 90.00°, γ = 90.00°
Last column: nearest neighbours and their distance in Å.
Positions (direct):
Ta 0.0000 0.0000 0.4778  5 Ru 2.47-2.64
P 0.5000 0.5000 0.8008  6 Ru 2.49-2.77
Ru 0.0000 0.0000 0.9475  1 Ta 2.47, 4 P 2.53
Ru 0.5000 0.5000 0.2740  2 P 2.49-2.77, 4 Ta 2.64

Summary:
formation enthalpy at 0 K	-0.80	eV/f.u.
symmetry	Pmm2 (25)

=====

Computed, not measured: an optimized crystal structure of Sr4In17Au15 at the PBE level of DFT.

a = 4.4490 Å, b = 13.0691 Å, c = 14.6921 Å
α = 89.51°, β = 90.00°, γ = 90.00°
Last column: nearest neighbours and their distance in Å.
Positions (direct):
Sr 0.5000 0.3992 0.7925  6 Au 3.31-3.63
Sr 0.5000 0.0945 0.2942  6 Au 3.34-3.54, 1 In 3.50
Sr 0.0000 0.5998 0.2044  6 Au 3.34-3.55, 5 In 3.52-3.74
Sr 0.0000 0.9064 0.7106  8 Au 3.47-3.83, 7 In 3.57-3.82
In 0.5000 0.2797 0.5183  5 Au 2.93-3.02, 1 In 3.17
In 0.5000 0.2173 0.0196  5 Au 2.93-2.96
In 0.0000 0.7120 0.4753  5 Au 2.88-3.04
In 0.0000 0.7893 0.9830  5 Au 2.92-2.98
In 0.5000 0.9055 0.5076  4 Au 2.78-2.87
In 0.5000 0.5882 0.0016  4 Au 2.74-2.87
In 0.0000 0.0796 0.4997  4 Au 2.74-2.84
In 0.0000 0.4202 0.9963  4 Au 2.73-2.85
In 0.5000 0.7133 0.8101  4 Au 2.76-2.88
In 0.5000 0.8034 0.2979  6 Au 2.80-2.97
In 0.0000 0.3021 0.2002  6 Au 2.80-2.95
In 0.0000 0.1975 0.7014  6 Au 2.81-2.95
In 0.0000 0.6039 0.6879  4 Au 2.80-3.00, 2 In 3.12
In 0.5000 0.5170 0.5616  4 Au 2.88-2.93, 5 In 3.12-3.18
In 0.5000 0.9749 0.0821  6 Au 2.85-2.96
In 0.0000 0.4672 0.4137  6 Au 2.85-3.12, 2 In 3.18
In 0.0000 0.0346 0.9238  6 Au 2.83-2.99
Au 0.5000 0.0841 0.6194  6 In 2.84-2.95, 1 Au 2.86
Au 0.5000 0.4132 0.1166  6 In 2.83-2.94, 1 Au 2.85
Au 0.0000 0.9085 0.3845  6 In 2.82-2.91, 1 Au 2.86
Au 0.0000 0.5952 0.8787  7 In 2.80-2.97
Au 0.5000 0.7294 0.6152  7 In 2.78-3.04
Au 0.5000 0.7584 0.1088  5 In 2.74-2.92
Au 0.0000 0.2507 0.3909  5 In 2.74-2.93
Au 0.0000 0.2483 0.8922  5 In 2.73-2.93
Au 0.5000 0.9022 0.8921  6 In 2.76-2.98, 1 Au 3.02
Au 0.5000 0.6083 0.3785  6 In 2.80-2.97, 1 Au 3.10
Au 0.0000 0.1115 0.1145  6 In 2.80-2.99, 1 Au 3.05
Au 0.0000 0.3899 0.6153  7 In 2.81-3.12
Au 0.5000 0.1156 0.8118  4 Au 2.86-3.06, 4 In 2.95-2.96
Au 0.5000 0.3852 0.3090  4 Au 2.85-3.10, 4 In 2.91-2.95
Au 0.0000 0.8937 0.1906  4 Au 2.86-3.09, 4 In 2.93-2.97

Summary:
formation enthalpy at 0 K	-14.43	eV/f.u.
symmetry	Pm (6)

=====

Computed, not measured: an optimized crystal structure of LiInGa2 at the PBE level of DFT.

a = 4.3231 Å, b = 6.2796 Å, c = 6.6081 Å
α = 90.00°, β = 90.00°, γ = 110.83°
Last column: nearest neighbours and their distance in Å.
Positions (direct):
Li 0.5456 0.0854 0.2500  8 Ga 3.00-3.08, 1 In 3.14
Li 0.4544 0.9146 0.7500  8 Ga 3.00-3.08, 1 In 3.14
In 0.2702 0.5507 0.2500  6 Ga 2.80-2.90
In 0.7298 0.4493 0.7500  6 Ga 2.80-2.90
Ga 0.8936 0.7889 0.4521  2 Ga 2.56-2.67, 1 In 2.80
Ga 0.1064 0.2111 0.5479  2 Ga 2.56-2.67, 1 In 2.80
Ga 0.1064 0.2111 0.9521  2 Ga 2.56-2.67, 1 In 2.80
Ga 0.8936 0.7889 0.0479  2 Ga 2.56-2.67, 1 In 2.80

Summary:
formation enthalpy at 0 K	-0.47	eV/f.u.
symmetry	P2_1/m (11)